Cs2Zr2Te5: relaxed, GGA-PBE.

It has space group C2/m (No. 12), with a = 15.7595 Å, b = 5.7596 Å, c = 9.5537 Å, α = 90.00°, β = 102.12° and γ = 90.00°. The inequivalent atoms are Cs at (0.0859, 0.0000, 0.3196), Zr at (0.1559, 0.5000, 0.8998), Te at (0.0000, 0.5000, 0.0000), Te at (0.1304, 0.5000, 0.6159) and Te at (0.1654, 0.0000, 0.9559).

The value obtained for the energy is -85.15 eV for the cell shown. The energy relative to the elements, uncorrected is -895.8 meV/atom. As for the total magnetization: 0.00 μB per formula unit.